[1]
Material: CaMo2Pb
Method: DFT, PBE-GGA
State: relaxed

Properties
VASP energy ... -6.371 eV/atom
SG ... No. 8

Cell: 4.5241 4.5241 6.8927 Å, 97.04 97.04 41.74°
With the nearest neighbours (Å) after each atom.
Positions (direct):
Ca 0.0000 0.0000 0.0000  5 Mo 3.03-3.39, 2 Ca 3.22, 3 Pb 3.23-3.32
Mo 0.2329 0.2329 0.7005  3 Mo 2.57-2.60
Mo 0.5030 0.5030 0.5682  3 Mo 2.57-2.60
Pb 0.7569 0.7569 0.3241  5 Mo 2.90-3.08, 2 Pb 3.22, 1 Ca 3.23

***

[2]
Material: CaMo2Pb
Method: DFT, PBE-GGA
State: relaxed

Properties
VASP energy ... -6.077 eV/atom
SG ... No. 12

Cell: 5.4102 5.4102 5.3999 Å, 95.93 95.93 31.49°
With the nearest neighbours (Å) after each atom.
Positions (direct):
Ca 0.0000 0.0000 0.0000  2 Ca 2.94, 6 Mo 2.97-3.18, 4 Pb 3.07
Mo 0.2450 0.2450 0.7649  6 Mo 2.92-3.23, 3 Ca 2.97-3.18, 3 Pb 3.15
Mo 0.7550 0.7550 0.2351  6 Mo 2.92-3.23, 3 Ca 2.97-3.18, 3 Pb 3.15
Pb 0.5000 0.5000 0.5000  2 Pb 2.94, 4 Ca 3.07, 6 Mo 3.15

***

[3]
Material: Ca2MoPb
Method: DFT, PBE-GGA
State: relaxed

Properties
VASP energy ... -4.183 eV/atom
SG ... No. 166

Cell: 10.7618 10.7618 10.7618 Å, 17.98 17.98 17.98°
With the nearest neighbours (Å) after each atom.
Positions (direct):
Ca 0.2427 0.2427 0.2427  3 Mo 3.10, 6 Ca 3.36
Ca 0.7573 0.7573 0.7573  3 Mo 3.10, 6 Ca 3.36
Mo 0.5000 0.5000 0.5000  6 Ca 3.10, 6 Mo 3.36
Pb 0.0000 0.0000 0.0000  6 Pb 3.36, 6 Ca 3.47

***

[4]
Material: Ca3MoPb
Method: DFT, PBE-GGA
State: relaxed

Properties
SG ... No. 221
Excess energy over the best structure of this formula in the dataset ... 0.103 eV/atom

Cell: 5.9613 5.9613 5.9613 Å, 90.00 90.00 90.00°
With the nearest neighbours (Å) after each atom.
Positions (direct):
Ca 0.0000 0.0000 0.5000  2 Pb 2.98
Ca 0.0000 0.5000 0.0000  2 Pb 2.98
Ca 0.5000 0.0000 0.0000  2 Pb 2.98
Mo 0.5000 0.5000 0.5000  12 Ca 4.22
Pb 0.0000 0.0000 0.0000  6 Ca 2.98

***

[5]
Material: Ca2MoPb
Method: DFT, PBE-GGA
State: relaxed

Properties
VASP energy ... -4.254 eV/atom
SG ... No. 8

Cell: 6.1617 6.1617 5.7061 Å, 106.52 106.52 30.80°
With the nearest neighbours (Å) after each atom.
Positions (direct):
Ca 0.0000 0.0000 0.0000  3 Ca 3.27-3.59, 3 Pb 3.29-3.36, 4 Mo 3.35
Ca 0.1978 0.1978 0.6299  3 Ca 3.27-3.59, 3 Mo 3.30-3.34, 4 Pb 3.34-3.38
Mo 0.4458 0.4458 0.4665  2 Pb 2.87
Pb 0.7586 0.7586 0.1722  2 Mo 2.87

***

[6]
Material: CaMo2Pb
Method: DFT, PBE-GGA
State: relaxed

Properties
VASP energy ... -6.212 eV/atom
SG ... No. 10

Cell: 3.0308 5.1687 5.5138 Å, 90.00 94.35 90.00°
With the nearest neighbours (Å) after each atom.
Positions (direct):
Ca 0.0000 0.0000 0.0000  2 Ca 3.03, 4 Pb 3.04-3.25, 8 Mo 3.05-3.39
Mo 0.3507 0.5000 0.7927  1 Mo 2.39
Mo 0.6493 0.5000 0.2073  1 Mo 2.39
Pb 0.5000 0.0000 0.5000  2 Pb 3.03, 4 Ca 3.04-3.25, 4 Mo 3.10

***

no.,N(E_F) (states/eV/f.u.)
1,2.61
2,2.55
3,2.85
4,4.51
5,3.37
6,2.97